No. 1
Crystalline FeGe2 at its relaxed geometry. Source: OQMD, functional PBE.

a b c (Å): 6.655 6.655 8.249
angles (deg): 90.00 90.00 75.11
Sites, in units of the cell vectors:
Fe 0.197 0.803 0.812
Fe 0.218 0.218 0.000
Fe 0.282 0.282 0.500
Fe 0.303 0.697 0.312
Fe 0.697 0.303 0.688
Fe 0.718 0.718 0.500
Fe 0.782 0.782 0.000
Fe 0.803 0.197 0.188
Ge 0.087 0.166 0.731
Ge 0.101 0.645 0.544
Ge 0.145 0.601 0.044
Ge 0.166 0.087 0.269
Ge 0.334 0.413 0.769
Ge 0.355 0.899 0.544
Ge 0.399 0.855 0.044
Ge 0.413 0.334 0.231
Ge 0.587 0.666 0.769
Ge 0.601 0.145 0.956
Ge 0.645 0.101 0.456
Ge 0.666 0.587 0.231
Ge 0.834 0.913 0.731
Ge 0.855 0.399 0.956
Ge 0.899 0.355 0.456
Ge 0.913 0.834 0.269

Results
- Volume: 353.1 Å³ per cell
- Symmetry: Cmce
- Total DFT energy (no corrections): -140.64 eV for the cell shown

No. 2
Crystalline LiYZrPd at its relaxed geometry. Source: OQMD, functional PBE.

a b c (Å): 4.876 4.876 4.876
angles (deg): 60.00 60.00 60.00
Sites, in units of the cell vectors:
Li 0.000 0.000 0.000
Y 0.250 0.250 0.250
Zr 0.750 0.750 0.750
Pd 0.500 0.500 0.500

Results
- Volume: 82.0 Å³ per cell
- Symmetry: F-43m
- Polymorph energy (0 for the lowest one): 0 meV/atom

No. 3
Crystalline ErGeIr at its relaxed geometry. Source: OQMD, functional PBE.

a b c (Å): 6.865 4.364 7.493
angles (deg): 90.00 90.00 90.00
Sites, in units of the cell vectors:
Er 0.011 0.250 0.201
Er 0.489 0.750 0.701
Er 0.511 0.250 0.299
Er 0.989 0.750 0.799
Ge 0.184 0.250 0.584
Ge 0.316 0.750 0.084
Ge 0.684 0.250 0.916
Ge 0.816 0.750 0.416
Ir 0.207 0.750 0.410
Ir 0.293 0.250 0.910
Ir 0.707 0.750 0.090
Ir 0.793 0.250 0.590

Results
- Volume: 224.5 Å³ per cell
- Symmetry: Pnma
- Total DFT energy (no corrections): -83.30 eV for the cell shown

No. 4
Crystalline Li2SnGePt2 at its relaxed geometry. Source: OQMD, functional PBE.

a b c (Å): 4.511 4.511 5.599
angles (deg): 90.00 90.00 120.00
Sites, in units of the cell vectors:
Li 0.000 0.000 0.239
Li 0.000 0.000 0.761
Sn 0.667 0.333 0.500
Ge 0.333 0.667 0.000
Pt 0.333 0.667 0.500
Pt 0.667 0.333 0.000

Results
- Volume: 98.7 Å³ per cell
- Symmetry: P-6m2
- Total DFT energy (no corrections): -28.20 eV for the cell shown

No. 5
Crystalline BiBW2 at its relaxed geometry. Source: OQMD, functional PBE.

a b c (Å): 3.351 3.351 13.435
angles (deg): 90.00 90.00 120.00
Sites, in units of the cell vectors:
Bi 0.333 0.667 0.250
Bi 0.667 0.333 0.750
B 0.000 0.000 0.000
B 0.000 0.000 0.500
W 0.333 0.667 0.579
W 0.333 0.667 0.921
W 0.667 0.333 0.079
W 0.667 0.333 0.421

Results
- Volume: 130.7 Å³ per cell
- Symmetry: P6_3/mmc
- Total DFT energy (no corrections): -70.52 eV for the cell shown

No. 6
Crystalline Ba3YOs2O9 at its relaxed geometry. Source: OQMD, functional PBE.

a b c (Å): 5.912 5.912 14.481
angles (deg): 90.00 90.00 120.00
Sites, in units of the cell vectors:
Ba 0.000 0.000 0.250
Ba 0.000 0.000 0.750
Ba 0.333 0.667 0.096
Ba 0.333 0.667 0.404
Ba 0.667 0.333 0.596
Ba 0.667 0.333 0.904
Y 0.000 0.000 0.000
Y 0.000 0.000 0.500
Os 0.333 0.667 0.665
Os 0.333 0.667 0.835
Os 0.667 0.333 0.165
Os 0.667 0.333 0.335
O 0.010 0.505 0.750
O 0.176 0.352 0.588
O 0.176 0.352 0.912
O 0.176 0.824 0.588
O 0.176 0.824 0.912
O 0.352 0.176 0.088
O 0.352 0.176 0.412
O 0.495 0.505 0.750
O 0.495 0.990 0.750
O 0.505 0.010 0.250
O 0.505 0.495 0.250
O 0.648 0.824 0.588
O 0.648 0.824 0.912
O 0.824 0.176 0.088
O 0.824 0.176 0.412
O 0.824 0.648 0.088
O 0.824 0.648 0.412
O 0.990 0.495 0.250

Results
- Volume: 438.4 Å³ per cell
- Symmetry: P6_3/mmc
- Total DFT energy (no corrections): -224.74 eV for the cell shown

No. 7
Crystalline KNdHgSe3 at its relaxed geometry. Source: OQMD, functional PBE.

a b c (Å): 15.149 4.350 11.640
angles (deg): 90.00 90.00 90.00
Sites, in units of the cell vectors:
K 0.236 0.250 0.054
K 0.264 0.750 0.554
K 0.736 0.250 0.446
K 0.764 0.750 0.946
Nd 0.022 0.250 0.347
Nd 0.478 0.750 0.847
Nd 0.522 0.250 0.153
Nd 0.978 0.750 0.653
Hg 0.013 0.750 0.106
Hg 0.487 0.250 0.606
Hg 0.513 0.750 0.394
Hg 0.987 0.250 0.894
Se 0.096 0.750 0.881
Se 0.097 0.250 0.576
Se 0.143 0.750 0.257
Se 0.357 0.250 0.757
Se 0.403 0.750 0.076
Se 0.404 0.250 0.381
Se 0.596 0.750 0.619
Se 0.597 0.250 0.924
Se 0.643 0.750 0.243
Se 0.857 0.250 0.743
Se 0.903 0.750 0.424
Se 0.904 0.250 0.119

Results
- Volume: 767.1 Å³ per cell
- Symmetry: Pnma
- Total DFT energy (no corrections): -95.04 eV for the cell shown

No. 8
Crystalline SrHfGe at its relaxed geometry. Source: OQMD, functional PBE.

a b c (Å): 5.067 5.067 5.067
angles (deg): 60.00 60.00 60.00
Sites, in units of the cell vectors:
Sr 0.000 0.000 0.000
Hf 0.250 0.250 0.250
Ge 0.750 0.750 0.750

Results
- Volume: 92.0 Å³ per cell
- Symmetry: F-43m
- Polymorph energy (0 for the lowest one): 993 meV/atom

No. 9
Crystalline DyFePd at its relaxed geometry. Source: OQMD, functional PBE.

a b c (Å): 4.510 4.510 4.510
angles (deg): 60.00 60.00 60.00
Sites, in units of the cell vectors:
Dy 0.000 0.000 0.000
Fe 0.750 0.750 0.750
Pd 0.250 0.250 0.250

Results
- Volume: 64.9 Å³ per cell
- Energy of formation from the pure elements: 490 meV per atom
- Symmetry: F-43m

No. 10
Crystalline ZrOsW at its relaxed geometry. Source: OQMD, functional PBE.

a b c (Å): 4.408 4.408 4.408
angles (deg): 60.00 60.00 60.00
Sites, in units of the cell vectors:
Zr 0.000 0.000 0.000
Os 0.750 0.750 0.750
W 0.500 0.500 0.500

Results
- Volume: 60.6 Å³ per cell
- Energy of formation from the pure elements: 281 meV per atom
- Symmetry: F-43m
- Polymorph energy (0 for the lowest one): 0 meV/atom

No. 11
Crystalline PaCo2Ge at its relaxed geometry. Source: OQMD, functional PBE.

a b c (Å): 4.138 4.138 8.378
angles (deg): 90.00 90.00 120.00
Sites, in units of the cell vectors:
Pa 0.333 0.667 0.250
Pa 0.667 0.333 0.750
Co 0.333 0.667 0.578
Co 0.333 0.667 0.922
Co 0.667 0.333 0.078
Co 0.667 0.333 0.422
Ge 0.000 0.000 0.000
Ge 0.000 0.000 0.500

Results
- Volume: 124.2 Å³ per cell
- Symmetry: P6_3/mmc
- Total DFT energy (no corrections): -60.78 eV for the cell shown

No. 12
Crystalline BeNbIn at its relaxed geometry. Source: OQMD, functional PBE.

a b c (Å): 4.379 4.379 4.379
angles (deg): 60.00 60.00 60.00
Sites, in units of the cell vectors:
Be 0.000 0.000 0.000
Nb 0.500 0.500 0.500
In 0.250 0.250 0.250

Results
- Volume: 59.4 Å³ per cell
- Symmetry: F-43m
- Total DFT energy (no corrections): -13.71 eV for the cell shown

No. 13
Crystalline Ho2Ni2B2PC at its relaxed geometry. Source: OQMD, functional PBE.

a b c (Å): 3.767 3.767 7.592
angles (deg): 90.00 90.00 90.00
Sites, in units of the cell vectors:
Ho 0.000 0.000 0.000
Ho 0.500 0.500 0.348
Ni 0.000 0.500 0.697
Ni 0.500 0.000 0.697
B 0.000 0.000 0.607
B 0.500 0.500 0.837
P 0.000 0.000 0.354
C 0.500 0.500 0.034

Results
- Volume: 107.7 Å³ per cell
- Symmetry: P4mm
- Total DFT energy (no corrections): -52.97 eV for the cell shown

No. 14
Crystalline CsHoPt at its relaxed geometry. Source: OQMD, functional PBE.

a b c (Å): 5.169 5.169 5.169
angles (deg): 60.00 60.00 60.00
Sites, in units of the cell vectors:
Cs 0.000 0.000 0.000
Ho 0.500 0.500 0.500
Pt 0.250 0.250 0.250

Results
- Volume: 97.6 Å³ per cell
- Symmetry: F-43m
- Polymorph energy (0 for the lowest one): 0 meV/atom

No. 15
Crystalline NbZnFePb at its relaxed geometry. Source: OQMD, functional PBE.

a b c (Å): 4.616 4.616 4.616
angles (deg): 60.00 60.00 60.00
Sites, in units of the cell vectors:
Nb 0.000 0.000 0.000
Zn 0.750 0.750 0.750
Fe 0.500 0.500 0.500
Pb 0.250 0.250 0.250

Results
- Volume: 69.5 Å³ per cell
- Symmetry: F-43m
- Polymorph energy (0 for the lowest one): 92 meV/atom

No. 16
Crystalline BeSiTc at its relaxed geometry. Source: OQMD, functional PBE.

a b c (Å): 3.917 3.917 3.917
angles (deg): 60.00 60.00 60.00
Sites, in units of the cell vectors:
Be 0.000 0.000 0.000
Si 0.500 0.500 0.500
Tc 0.250 0.250 0.250

Results
- Volume: 42.5 Å³ per cell
- Symmetry: F-43m
- Polymorph energy (0 for the lowest one): 173 meV/atom

No. 17
Crystalline RbAcPd at its relaxed geometry. Source: OQMD, functional PBE.

a b c (Å): 5.381 5.381 5.381
angles (deg): 60.00 60.00 60.00
Sites, in units of the cell vectors:
Rb 0.000 0.000 0.000
Ac 0.500 0.500 0.500
Pd 0.750 0.750 0.750

Results
- Volume: 110.2 Å³ per cell
- Symmetry: F-43m
- Polymorph energy (0 for the lowest one): 106 meV/atom

No. 18
Crystalline LiBeSnAu at its relaxed geometry. Source: OQMD, functional PBE.

a b c (Å): 4.451 4.451 4.451
angles (deg): 60.00 60.00 60.00
Sites, in units of the cell vectors:
Li 0.000 0.000 0.000
Be 0.500 0.500 0.500
Sn 0.250 0.250 0.250
Au 0.750 0.750 0.750

Results
- Volume: 62.4 Å³ per cell
- Symmetry: F-43m
- Polymorph energy (0 for the lowest one): 0 meV/atom

No. 19
Crystalline Tb2TmBi3 at its relaxed geometry. Source: OQMD, functional PBE.

a b c (Å): 4.463 4.463 10.943
angles (deg): 90.00 90.00 120.00
Sites, in units of the cell vectors:
Tb 0.333 0.667 0.332
Tb 0.667 0.333 0.668
Tm 0.000 0.000 0.000
Bi 0.000 0.000 0.500
Bi 0.333 0.667 0.837
Bi 0.667 0.333 0.163

Results
- Volume: 188.8 Å³ per cell
- Symmetry: P-3m1
- Total DFT energy (no corrections): -31.06 eV for the cell shown

No. 20
Crystalline NdYCu at its relaxed geometry. Source: OQMD, functional PBE.

a b c (Å): 4.827 4.827 4.827
angles (deg): 60.00 60.00 60.00
Sites, in units of the cell vectors:
Nd 0.000 0.000 0.000
Y 0.250 0.250 0.250
Cu 0.750 0.750 0.750

Results
- Volume: 79.5 Å³ per cell
- Energy of formation from the pure elements: 696 meV per atom
- Symmetry: F-43m

No. 21
Crystalline CsRbAgBi at its relaxed geometry. Source: OQMD, functional PBE.

a b c (Å): 6.815 7.192 7.192
angles (deg): 74.27 90.00 90.00
Sites, in units of the cell vectors:
Cs 0.250 0.152 0.848
Cs 0.750 0.848 0.152
Rb 0.250 0.496 0.191
Rb 0.750 0.191 0.496
Ag 0.000 0.676 0.676
Ag 0.500 0.676 0.676
Bi 0.250 0.928 0.411
Bi 0.750 0.411 0.928

Results
- Volume: 339.3 Å³ per cell
- Symmetry: Ama2
- Polymorph energy (0 for the lowest one): 2 meV/atom

No. 22
Crystalline PmCdNO at its relaxed geometry. Source: OQMD, functional PBE.

a b c (Å): 6.479 8.272 5.054
angles (deg): 90.00 90.00 90.00
Sites, in units of the cell vectors:
Pm 0.061 0.141 0.000
Pm 0.439 0.141 0.500
Pm 0.561 0.859 0.000
Pm 0.939 0.859 0.500
Cd 0.066 0.628 0.999
Cd 0.434 0.628 0.499
Cd 0.566 0.372 0.999
Cd 0.934 0.372 0.499
N 0.079 0.126 0.501
N 0.421 0.126 0.001
N 0.579 0.874 0.501
N 0.921 0.874 0.001
O 0.090 0.609 0.506
O 0.410 0.609 0.006
O 0.590 0.391 0.506
O 0.910 0.391 0.006

Results
- Volume: 270.9 Å³ per cell
- Symmetry: Pca2_1
- Polymorph energy (0 for the lowest one): 59 meV/atom

No. 23
Crystalline GdCdCu at its relaxed geometry. Source: OQMD, functional PBE.

a b c (Å): 7.325 7.325 4.068
angles (deg): 90.00 90.00 120.00
Sites, in units of the cell vectors:
Gd 0.000 0.585 0.000
Gd 0.415 0.415 0.000
Gd 0.585 0.000 0.000
Cd 0.000 0.246 0.500
Cd 0.246 0.000 0.500
Cd 0.754 0.754 0.500
Cu 0.000 0.000 0.000
Cu 0.333 0.667 0.500
Cu 0.667 0.333 0.500

Results
- Volume: 189.1 Å³ per cell
- Energy of formation from the pure elements: -297 meV per atom
- Symmetry: P-62m
- Polymorph energy (0 for the lowest one): 0 meV/atom

No. 24
Crystalline KAcDy at its relaxed geometry. Source: OQMD, functional PBE.

a b c (Å): 6.120 6.120 6.120
angles (deg): 60.00 60.00 60.00
Sites, in units of the cell vectors:
K 0.000 0.000 0.000
Ac 0.500 0.500 0.500
Dy 0.750 0.750 0.750

Results
- Volume: 162.1 Å³ per cell
- Symmetry: F-43m
- Polymorph energy (0 for the lowest one): 0 meV/atom